Record 1
Entry from Alexandria: crystalline Li2MgBr at its relaxed geometry (PBE-GGA).

Energy: -2.39 eV/atom
DOS at the Fermi energy: 1.01 states/eV/f.u.
Calculated density: 2.1 g/cm3
Total magnetization: 0.00 μB per cell

a = 3.538 Å, b = 3.538 Å, c = 8.793 Å
α = 101.59°, β = 101.59°, γ = 59.87°
Fractional positions:
Li 0.231 0.231 0.194
Li 0.769 0.769 0.806
Mg 0.000 0.000 0.500
Br 0.500 0.500 0.000



Record 2
Entry from Alexandria: crystalline Li2MgBr at its relaxed geometry (PBE-GGA).

Energy: -1.88 eV/atom
DOS at the Fermi energy: 2.16 states/eV/f.u.
Calculated density: 1.9 g/cm3
Total magnetization: 0.00 μB per cell

a = 5.250 Å, b = 5.250 Å, c = 5.250 Å
α = 60.00°, β = 60.00°, γ = 60.00°
Fractional positions:
Li 0.000 0.000 0.000
Li 0.250 0.250 0.250
Mg 0.500 0.500 0.500
Br 0.750 0.750 0.750



Question: Among the records above, which one has the lowest calculated density?
Answer: number 2